(1)
ReSnRu2 | GGA-PBE | optimized geometry

The structure belongs to space group I-42d (No. 122); the cell edges are 5.8508, 5.8508 and 11.0039 Å and the angles 90.00°, 90.00° and 90.00°. The inequivalent atoms are Re at (0.0000, 0.0000, 0.0000), Sn at (0.0000, 0.0000, 0.5000) and Ru at (0.2173, 0.2500, 0.1250).

The calculation puts the density of states at the Fermi level at 13.1 states/eV/cell. The value obtained for the formation energy is 989 meV per atom.


(2)
SmDyAlHg | GGA-PBE | optimized geometry

The structure belongs to space group P4mm (No. 99); the cell edges are 3.5244, 3.5244 and 8.1116 Å and the angles 90.00°, 90.00° and 90.00°. The inequivalent atoms are Sm at (0.0000, 0.0000, 0.0000), Dy at (0.0000, 0.0000, 0.4790), Al at (0.5000, 0.5000, 0.2438) and Hg at (0.5000, 0.5000, 0.7291).

The value obtained for the offset from the most stable computed form is 0 meV per atom. The calculation puts the density of states at the Fermi level at 1.7 states/eV/cell. The value obtained for the formation energy is -434 meV per atom.


(3)
Ca2RuCl | GGA-PBE | optimized geometry

The structure belongs to space group F-43m (No. 216); the cell edges are 7.0375, 7.0375 and 7.0375 Å and the angles 90.00°, 90.00° and 90.00°. The inequivalent atoms are Ca at (0.0000, 0.0000, 0.0000), Ca at (0.2500, 0.2500, 0.2500), Ru at (0.2500, 0.2500, 0.7500) and Cl at (0.0000, 0.0000, 0.5000).

The value obtained for the offset from the most stable computed form is 910 meV per atom. The calculation puts the density of states at the Fermi level at 24.0 states/eV/cell.


(4)
Nd6Tm2Mg | GGA-PBE | optimized geometry

The structure belongs to space group P4_2/mnm (No. 136); the cell edges are 10.7340, 10.7340 and 5.1434 Å and the angles 90.00°, 90.00° and 90.00°. The inequivalent atoms are Nd at (0.0034, 0.3318, 0.0000), Nd at (0.1588, 0.8412, 0.5000), Tm at (0.1721, 0.1721, 0.5000) and Mg at (0.0000, 0.0000, 0.0000).

The value obtained for the offset from the most stable computed form is 0 meV per atom. The calculation puts the density of states at the Fermi level at 27.2 states/eV/cell. The value obtained for the formation energy is 25 meV per atom.


(5)
KAlPt2W | GGA-PBE | optimized geometry

The structure belongs to space group P4/mmm (No. 123); the cell edges are 4.9433, 4.9433 and 5.0558 Å and the angles 90.00°, 90.00° and 90.00°. The inequivalent atoms are K at (0.0000, 0.0000, 0.0000), Al at (0.5000, 0.5000, 0.0000), Pt at (0.0000, 0.5000, 0.5000) and W at (0.5000, 0.5000, 0.5000).

The calculation puts the density of states at the Fermi level at 3.0 states/eV/cell. The value obtained for the formation energy is 519 meV per atom.


(6)
RbTl2InSb | GGA-PBE | optimized geometry

The structure belongs to space group Imm2 (No. 44); the cell edges are 4.6303, 5.2047 and 15.1778 Å and the angles 90.00°, 90.00° and 90.00°. The inequivalent atoms are Rb at (0.0000, 0.0000, 0.0000), Tl at (0.0000, 0.0000, 0.6235), Tl at (0.0000, 0.5000, 0.2723), In at (0.0000, 0.5000, 0.7630) and Sb at (0.0000, 0.0000, 0.3948).

The total energy is -2.647 eV/atom. The calculation puts the density of states at the Fermi level at 2.6 states/eV/cell.


(7)
RbLaN3 | GGA-PBE | optimized geometry

The structure belongs to space group Pm-3m (No. 221); the cell edges are 4.2880, 4.2880 and 4.2880 Å and the angles 90.00°, 90.00° and 90.00°. The inequivalent atoms are Rb at (0.0000, 0.0000, 0.0000), La at (0.5000, 0.5000, 0.5000) and N at (0.0000, 0.0000, 0.5000).

The total energy is -4.367 eV/atom. The calculation puts the density of states at the Fermi level at 4.4 states/eV/cell.


(8)
Pr8Si4Cl3 | GGA-PBE | optimized geometry

The structure belongs to space group C2/m (No. 12); the cell edges are 11.9216, 11.9994 and 8.4074 Å and the angles 90.00°, 134.68° and 90.00°. The inequivalent atoms are Pr at (0.0000, 0.2424, 0.0000), Pr at (0.0000, 0.2546, 0.5000), Pr at (0.2464, 0.0000, 0.4952), Pr at (0.2492, 0.0000, 0.0132), Si at (0.0000, 0.0000, 0.0000), Si at (0.0000, 0.5000, 0.5000), Si at (0.2500, 0.2500, 0.5000), Cl at (0.0000, 0.5000, 0.0000) and Cl at (0.2500, 0.2500, 0.0000).

The total energy is -5.367 eV/atom. The calculation puts the density of states at the Fermi level at 19.4 states/eV/cell.


(9)
NaVFe2Tc | GGA-PBE | optimized geometry

The structure belongs to space group P4/mmm (No. 123); the cell edges are 4.2106, 4.2106 and 4.7042 Å and the angles 90.00°, 90.00° and 90.00°. The inequivalent atoms are Na at (0.0000, 0.0000, 0.0000), V at (0.0000, 0.0000, 0.5000), Fe at (0.0000, 0.5000, 0.5000) and Tc at (0.5000, 0.5000, 0.0000).

The calculation puts the density of states at the Fermi level at 4.8 states/eV/cell. The value obtained for the formation energy is 1575 meV per atom.


(10)
LiSb2TeOs | GGA-PBE | optimized geometry

The structure belongs to space group P4/mmm (No. 123); the cell edges are 5.0087, 5.0087 and 6.0737 Å and the angles 90.00°, 90.00° and 90.00°. The inequivalent atoms are Li at (0.0000, 0.0000, 0.0000), Sb at (0.0000, 0.5000, 0.5000), Te at (0.5000, 0.5000, 0.0000) and Os at (0.5000, 0.5000, 0.5000).

The value obtained for the offset from the most stable computed form is 0 meV per atom. The calculation puts the density of states at the Fermi level at 5.3 states/eV/cell.


(11)
RePbSe2N | GGA-PBE | optimized geometry

The structure belongs to space group P4/mmm (No. 123); the cell edges are 5.4816, 5.4816 and 4.1790 Å and the angles 90.00°, 90.00° and 90.00°. The inequivalent atoms are Re at (0.0000, 0.0000, 0.0000), Pb at (0.5000, 0.5000, 0.5000), Se at (0.0000, 0.5000, 0.5000) and N at (0.5000, 0.5000, 0.0000).

The value obtained for the offset from the most stable computed form is 1900 meV per atom. The calculation puts the density of states at the Fermi level at 4.6 states/eV/cell.